First-principles (PBE-GGA) data for crystalline RbU2O6 at its relaxed geometry, as listed in Alexandria via LeMat-Bulk.

For the density of states at the Fermi level, the calculation gives 44.88 states/eV per cell. As for the final energy: -80.434 eV per formula unit.

The space group is Fd-3m (No. 227, origin choice 2) and the conventional cell measures 11.217, 11.217 and 11.217 Å, with angles of 90.00, 90.00 and 90.00 degrees. The distinct sites, in fractional coordinates, are Rb at (0.125, 0.125, 0.125), U at (0.000, 0.000, 0.500) and O at (0.066, 0.375, 0.875).